Entry 1:
A relaxed structure of Zn2CuHRh, computed with PBE.

The space group is P4/mmm (No. 123) and the conventional cell measures 4.8189, 4.8189 and 3.1809 Å, with angles of 90.00, 90.00 and 90.00 degrees. The distinct sites, in fractional coordinates, are Zn at (0.0000, 0.5000, 0.0000), Cu at (0.0000, 0.0000, 0.5000), H at (0.5000, 0.5000, 0.5000) and Rh at (0.5000, 0.5000, 0.0000).

The calculation puts the total energy at -3.179 eV per atom. As for the density of states at the Fermi level: 0.282 states/eV per atom. Its crystal system is tetragonal. As for the size of the total moment: 0.000 μB/cell. The offset from the most stable computed form comes out at 1.90 eV per formula unit.

=====

Entry 2:
A relaxed structure of ZnCu2HRh, computed with PBE.

The space group is P4/mmm (No. 123) and the conventional cell measures 3.6542, 3.6542 and 4.1006 Å, with angles of 90.00, 90.00 and 90.00 degrees. The distinct sites, in fractional coordinates, are Zn at (0.0000, 0.0000, 0.0000), Cu at (0.0000, 0.5000, 0.5000), H at (0.0000, 0.0000, 0.5000) and Rh at (0.5000, 0.5000, 0.0000).

The calculation puts the total energy at -4.002 eV per atom. As for the density of states at the Fermi level: 0.636 states/eV per atom. Its crystal system is tetragonal. As for the size of the total moment: 0.000 μB/cell. The offset from the most stable computed form comes out at 0.98 eV per formula unit.

=====

Entry 3:
A relaxed structure of ZnCu2HRh, computed with PBE.

The space group is P4/mmm (No. 123) and the conventional cell measures 3.7903, 3.7903 and 3.8059 Å, with angles of 90.00, 90.00 and 90.00 degrees. The distinct sites, in fractional coordinates, are Zn at (0.0000, 0.0000, 0.0000), Cu at (0.0000, 0.5000, 0.5000), H at (0.5000, 0.5000, 0.5000) and Rh at (0.5000, 0.5000, 0.0000).

The calculation puts the total energy at -4.197 eV per atom. As for the density of states at the Fermi level: 0.189 states/eV per atom. Its crystal system is tetragonal. As for the size of the total moment: 0.000 μB/cell. The offset from the most stable computed form comes out at 0.00 eV per formula unit.

=====

Entry 4:
A relaxed structure of ZrCu2HRh, computed with PBE.

The space group is P4/mmm (No. 123) and the conventional cell measures 3.8458, 3.8458 and 4.2380 Å, with angles of 90.00, 90.00 and 90.00 degrees. The distinct sites, in fractional coordinates, are Zr at (0.0000, 0.0000, 0.0000), Cu at (0.0000, 0.5000, 0.5000), H at (0.0000, 0.0000, 0.5000) and Rh at (0.5000, 0.5000, 0.0000).

The calculation puts the total energy at -5.722 eV per atom. As for the density of states at the Fermi level: 0.296 states/eV per atom. Its crystal system is tetragonal. As for the size of the total moment: 0.000 μB/cell.

=====

Entry 5:
A relaxed structure of ZrCuHRh2, computed with PBE.

The space group is P4/mmm (No. 123) and the conventional cell measures 4.1206, 4.1206 and 3.7152 Å, with angles of 90.00, 90.00 and 90.00 degrees. The distinct sites, in fractional coordinates, are Zr at (0.0000, 0.0000, 0.0000), Cu at (0.5000, 0.5000, 0.0000), H at (0.5000, 0.5000, 0.5000) and Rh at (0.0000, 0.5000, 0.5000).

The calculation puts the total energy at -6.637 eV per atom. As for the density of states at the Fermi level: 0.164 states/eV per atom. Its crystal system is tetragonal. As for the size of the total moment: 0.000 μB/cell. The offset from the most stable computed form comes out at 0.00 eV per formula unit.

=====

Entry 6:
A relaxed structure of ZrCuHRh2, computed with PBE.

The space group is P4/mmm (No. 123) and the conventional cell measures 3.9985, 3.9985 and 4.0110 Å, with angles of 90.00, 90.00 and 90.00 degrees. The distinct sites, in fractional coordinates, are Zr at (0.0000, 0.0000, 0.0000), Cu at (0.5000, 0.5000, 0.0000), H at (0.0000, 0.0000, 0.5000) and Rh at (0.0000, 0.5000, 0.5000).

The calculation puts the total energy at -6.564 eV per atom. As for the density of states at the Fermi level: 0.288 states/eV per atom. Its crystal system is tetragonal. As for the size of the total moment: 0.000 μB/cell. The offset from the most stable computed form comes out at 0.36 eV per formula unit.

=====

Entry 7:
A relaxed structure of Cu2H5Ru, computed with PBE.

The space group is Cm (No. 8) and the conventional cell measures 6.4424, 7.6288 and 2.9541 Å, with angles of 90.00, 116.20 and 90.00 degrees. The distinct sites, in fractional coordinates, are Cu at (0.0000, 0.2308, 0.0000), H at (0.0279, 0.0000, 0.0304), H at (0.1060, 0.5000, 0.7857), H at (0.1072, 0.5000, 0.4283), H at (0.3229, 0.2327, 0.3296) and Ru at (0.3376, 0.0000, 0.3432).

The calculation puts the total energy at -4.102 eV per atom. As for the density of states at the Fermi level: 0.266 states/eV per atom. Its crystal system is monoclinic. As for the size of the total moment: 0.917 μB/cell.

=====

Entry 8:
A relaxed structure of Cu2HRu2, computed with PBE.

The space group is P4/mbm (No. 127) and the conventional cell measures 5.1497, 5.1497 and 4.4344 Å, with angles of 90.00, 90.00 and 90.00 degrees. The distinct sites, in fractional coordinates, are Cu at (0.1642, 0.3358, 0.0000), H at (0.0000, 0.0000, 0.5000) and Ru at (0.1708, 0.6708, 0.5000).

The calculation puts the total energy at -5.679 eV per atom. As for the density of states at the Fermi level: 0.918 states/eV per atom. Its crystal system is tetragonal. As for the size of the total moment: 0.000 μB/cell.

=====

Entry 9:
A relaxed structure of CuHRu, computed with PBE.

The space group is Imma (No. 74) and the conventional cell measures 3.7233, 3.9596 and 7.8171 Å, with angles of 90.00, 90.00 and 90.00 degrees. The distinct sites, in fractional coordinates, are Cu at (0.0000, 0.2500, 0.1358), H at (0.0000, 0.2500, 0.8474) and Ru at (0.0000, 0.2500, 0.6112).

The calculation puts the total energy at -5.361 eV per atom. As for the density of states at the Fermi level: 0.520 states/eV per atom. Its crystal system is orthorhombic. As for the size of the total moment: 0.000 μB/cell. The offset from the most stable computed form comes out at 0.03 eV per formula unit.

=====

Entry 10:
A relaxed structure of CuHRu, computed with PBE.

The space group is P3m1 (No. 156) and the conventional cell measures 2.7551, 2.7551 and 4.4252 Å, with angles of 90.00, 90.00 and 120.00 degrees. The distinct sites, in fractional coordinates, are Cu at (0.0000, 0.0000, 0.0000), H at (0.3333, 0.6667, 0.7070) and Ru at (0.6667, 0.3333, 0.4823).

The calculation puts the total energy at -5.372 eV per atom. As for the density of states at the Fermi level: 0.853 states/eV per atom. Its crystal system is trigonal. As for the size of the total moment: 0.001 μB/cell. The offset from the most stable computed form comes out at 0.00 eV per formula unit.

=====

Entry 11:
A relaxed structure of Cu3HRu, computed with PBE.

The space group is Pm-3m (No. 221) and the conventional cell measures 4.7080, 4.7080 and 4.7080 Å, with angles of 90.00, 90.00 and 90.00 degrees. The distinct sites, in fractional coordinates, are Cu at (0.0000, 0.0000, 0.5000), H at (0.5000, 0.5000, 0.5000) and Ru at (0.0000, 0.0000, 0.0000).

The calculation puts the total energy at -3.226 eV per atom. As for the density of states at the Fermi level: 0.680 states/eV per atom. Its crystal system is cubic. As for the size of the total moment: 2.687 μB/cell. The offset from the most stable computed form comes out at 7.00 eV per formula unit.

=====

Entry 12:
A relaxed structure of CuH4Ru, computed with PBE.

The space group is C2/c (No. 15) and the conventional cell measures 4.7789, 10.0857 and 4.5713 Å, with angles of 90.00, 112.79 and 90.00 degrees. The distinct sites, in fractional coordinates, are Cu at (0.0000, 0.2034, 0.2500), H at (0.1875, 0.1914, 0.6877), H at (0.2489, 0.4395, 0.8467) and Ru at (0.0000, 0.0560, 0.7500).

The calculation puts the total energy at -4.270 eV per atom. As for the density of states at the Fermi level: 0.268 states/eV per atom. Its crystal system is monoclinic. As for the size of the total moment: 0.001 μB/cell.

=====

Entry 13:
A relaxed structure of Cu3HRu, computed with PBE.

The space group is Pm-3m (No. 221) and the conventional cell measures 3.7462, 3.7462 and 3.7462 Å, with angles of 90.00, 90.00 and 90.00 degrees. The distinct sites, in fractional coordinates, are Cu at (0.0000, 0.0000, 0.5000), H at (0.0000, 0.0000, 0.0000) and Ru at (0.5000, 0.5000, 0.5000).

The calculation puts the total energy at -4.626 eV per atom. As for the density of states at the Fermi level: 0.603 states/eV per atom. Its crystal system is cubic. As for the size of the total moment: 0.000 μB/cell. The offset from the most stable computed form comes out at 0.00 eV per formula unit.

=====

Entry 14:
A relaxed structure of CuHRu2, computed with PBE.

The space group is Fm-3m (No. 225) and the conventional cell measures 5.6745, 5.6745 and 5.6745 Å, with angles of 90.00, 90.00 and 90.00 degrees. The distinct sites, in fractional coordinates, are Cu at (0.0000, 0.0000, 0.0000), H at (0.0000, 0.0000, 0.5000) and Ru at (0.2500, 0.2500, 0.2500).

The calculation puts the total energy at -5.696 eV per atom. As for the density of states at the Fermi level: 1.099 states/eV per atom. Its crystal system is cubic. As for the size of the total moment: 0.000 μB/cell. The offset from the most stable computed form comes out at 1.59 eV per formula unit.

=====

Entry 15:
A relaxed structure of Cu3H7Ru, computed with PBE.

The space group is Cm (No. 8) and the conventional cell measures 7.5433, 5.3581 and 4.8603 Å, with angles of 90.00, 121.78 and 90.00 degrees. The distinct sites, in fractional coordinates, are Cu at (0.0000, 0.0000, 0.0000), Cu at (0.2172, 0.2553, 0.5322), H at (0.0211, 0.2857, 0.6348), H at (0.0652, 0.5000, 0.2633), H at (0.1949, 0.2165, 0.1397), H at (0.3240, 0.0000, 0.7901), H at (0.3590, 0.5000, 0.1729) and Ru at (0.0953, 0.5000, 0.9380).

The calculation puts the total energy at -3.999 eV per atom. As for the density of states at the Fermi level: 0.064 states/eV per atom. Its crystal system is monoclinic. As for the size of the total moment: 0.000 μB/cell.

=====

Entry 16:
A relaxed structure of Cu5H12Ru3, computed with PBE.

The space group is Ia-3d (No. 230) and the conventional cell measures 10.5101, 10.5101 and 10.5101 Å, with angles of 90.00, 90.00 and 90.00 degrees. The distinct sites, in fractional coordinates, are Cu at (0.0000, 0.0000, 0.0000), Cu at (0.0000, 0.2500, 0.3750), H at (0.0109, 0.0730, 0.6576) and Ru at (0.0000, 0.2500, 0.1250).

The calculation puts the total energy at -4.251 eV per atom. As for the density of states at the Fermi level: 0.228 states/eV per atom. Its crystal system is cubic. As for the size of the total moment: 0.000 μB/cell.

=====

Entry 17:
A relaxed structure of CuHRu2, computed with PBE.

The space group is I-42d (No. 122) and the conventional cell measures 5.9183, 5.9183 and 5.0355 Å, with angles of 90.00, 90.00 and 90.00 degrees. The distinct sites, in fractional coordinates, are Cu at (0.0000, 0.0000, 0.0000), H at (0.0000, 0.0000, 0.5000) and Ru at (0.1575, 0.2500, 0.6250).

The calculation puts the total energy at -6.095 eV per atom. As for the density of states at the Fermi level: 1.142 states/eV per atom. Its crystal system is tetragonal. As for the size of the total moment: 0.000 μB/cell. The offset from the most stable computed form comes out at 0.00 eV per formula unit.

=====

Entry 18:
A relaxed structure of ScCuHRu2, computed with PBE.

The space group is P4/mmm (No. 123) and the conventional cell measures 3.9893, 3.9893 and 3.8470 Å, with angles of 90.00, 90.00 and 90.00 degrees. The distinct sites, in fractional coordinates, are Sc at (0.0000, 0.0000, 0.0000), Cu at (0.5000, 0.5000, 0.0000), H at (0.5000, 0.5000, 0.5000) and Ru at (0.0000, 0.5000, 0.5000).

The calculation puts the total energy at -6.585 eV per atom. As for the density of states at the Fermi level: 0.880 states/eV per atom. Its crystal system is tetragonal. As for the size of the total moment: 0.000 μB/cell.

=====

Entry 19:
A relaxed structure of Sc2CuHRu, computed with PBE.

The space group is P4/mmm (No. 123) and the conventional cell measures 4.5036, 4.5036 and 3.4180 Å, with angles of 90.00, 90.00 and 90.00 degrees. The distinct sites, in fractional coordinates, are Sc at (0.0000, 0.5000, 0.0000), Cu at (0.0000, 0.0000, 0.5000), H at (0.0000, 0.0000, 0.0000) and Ru at (0.5000, 0.5000, 0.5000).

The calculation puts the total energy at -6.305 eV per atom. As for the density of states at the Fermi level: 0.461 states/eV per atom. Its crystal system is tetragonal. As for the size of the total moment: 0.000 μB/cell. The offset from the most stable computed form comes out at 0.00 eV per formula unit.

=====

Entry 20:
A relaxed structure of Sc2CuHRu, computed with PBE.

The space group is P4/mmm (No. 123) and the conventional cell measures 4.5132, 4.5132 and 3.5076 Å, with angles of 90.00, 90.00 and 90.00 degrees. The distinct sites, in fractional coordinates, are Sc at (0.0000, 0.5000, 0.0000), Cu at (0.0000, 0.0000, 0.5000), H at (0.5000, 0.5000, 0.0000) and Ru at (0.5000, 0.5000, 0.5000).

The calculation puts the total energy at -6.297 eV per atom. As for the density of states at the Fermi level: 0.467 states/eV per atom. Its crystal system is tetragonal. As for the size of the total moment: 0.000 μB/cell. The offset from the most stable computed form comes out at 0.04 eV per formula unit.

=====

Entry 21:
A relaxed structure of SmCuH6Ru, computed with PBE.

The space group is P-6m2 (No. 187) and the conventional cell measures 4.6220, 4.6220 and 4.3018 Å, with angles of 90.00, 90.00 and 120.00 degrees. The distinct sites, in fractional coordinates, are Sm at (0.0000, 0.0000, 0.0000), Cu at (0.3333, 0.6667, 0.5000), H at (0.5069, 0.0137, 0.2362) and Ru at (0.6667, 0.3333, 0.5000).

The calculation puts the total energy at -4.500 eV per atom. As for the density of states at the Fermi level: 0.213 states/eV per atom. Its crystal system is hexagonal. As for the size of the total moment: 0.000 μB/cell.

=====

Entry 22:
A relaxed structure of Sm2CuH6Ru, computed with PBE.

The space group is C2/m (No. 12) and the conventional cell measures 7.3239, 7.4861 and 5.1771 Å, with angles of 90.00, 134.49 and 90.00 degrees. The distinct sites, in fractional coordinates, are Sm at (0.0000, 0.2499, 0.0000), Cu at (0.0000, 0.0000, 0.5000), H at (0.0000, 0.2603, 0.5000), H at (0.2421, 0.5000, 0.9827), H at (0.2431, 0.5000, 0.5015) and Ru at (0.0000, 0.5000, 0.5000).

The calculation puts the total energy at -4.686 eV per atom. As for the density of states at the Fermi level: 0.477 states/eV per atom. Its crystal system is monoclinic. As for the size of the total moment: 0.000 μB/cell.

=====

Entry 23:
A relaxed structure of Cu2SnHRu, computed with PBE.

The space group is P4/mmm (No. 123) and the conventional cell measures 3.9579, 3.9579 and 3.8978 Å, with angles of 90.00, 90.00 and 90.00 degrees. The distinct sites, in fractional coordinates, are Cu at (0.0000, 0.5000, 0.0000), Sn at (0.0000, 0.0000, 0.5000), H at (0.5000, 0.5000, 0.0000) and Ru at (0.5000, 0.5000, 0.5000).

The calculation puts the total energy at -4.911 eV per atom. As for the density of states at the Fermi level: 0.576 states/eV per atom. Its crystal system is tetragonal. As for the size of the total moment: 0.000 μB/cell.